(1)
Compound: LiPuAgHg
Source: the Alexandria database
Functional: GGA-PBE
Structure: optimized geometry

Values from the calculation:
The value obtained for the formation enthalpy at 0 K is -0.02 eV/atom. As for the distance to the lowest polymorph of the same formula: 131.2 meV/atom.

a b c (Å): 7.1961 7.1961 7.1961
angles (deg): 90.00 90.00 90.00
With the nearest neighbours (Å) after each atom.
Space group F-43m (No. 216)
One atom of each set of equivalent atoms:
Li (0.0000, 0.0000, 0.0000) (multiplicity 4)  4 Hg 3.12, 4 Ag 3.12
Pu (0.0000, 0.0000, 0.5000) (multiplicity 4)  4 Ag 3.12, 4 Hg 3.12
Ag (0.2500, 0.2500, 0.2500) (multiplicity 4)  4 Li 3.12, 4 Pu 3.12
Hg (0.2500, 0.2500, 0.7500) (multiplicity 4)  4 Pu 3.12, 4 Li 3.12

(2)
Compound: LiPuAgHg
Source: the Alexandria database
Functional: GGA-PBE
Structure: optimized geometry

Values from the calculation:
The value obtained for the formation enthalpy at 0 K is -0.15 eV/atom. As for the distance to the lowest polymorph of the same formula: 0.0 meV/atom.

a b c (Å): 3.2277 3.2277 7.8720
angles (deg): 90.00 90.00 90.00
With the nearest neighbours (Å) after each atom.
Space group P4mm (No. 99)
One atom of each set of equivalent atoms:
Li (0.0000, 0.0000, 0.0000) (multiplicity 1)  4 Ag 2.74, 4 Hg 2.83
Pu (0.0000, 0.0000, 0.5169) (multiplicity 1)  4 Pu 3.23, 4 Ag 3.23, 4 Hg 3.30
Ag (0.5000, 0.5000, 0.8073) (multiplicity 1)  4 Li 2.74
Hg (0.5000, 0.5000, 0.2133) (multiplicity 1)  4 Li 2.83

(3)
Compound: RbLiAg2Hg
Source: the Alexandria database
Functional: GGA-PBE
Structure: optimized geometry

Values from the calculation:
The value obtained for the formation enthalpy at 0 K is 0.23 eV/atom.

a b c (Å): 5.0461 5.0461 6.0703
angles (deg): 90.00 90.00 90.00
With the nearest neighbours (Å) after each atom.
Space group P4/mmm (No. 123)
One atom of each set of equivalent atoms:
Rb (0.0000, 0.0000, 0.0000) (multiplicity 1)  2 Li 3.04
Li (0.0000, 0.0000, 0.5000) (multiplicity 1)  4 Ag 2.52
Ag (0.0000, 0.5000, 0.5000) (multiplicity 2)  2 Li 2.52
Hg (0.5000, 0.5000, 0.0000) (multiplicity 1)  4 Rb 3.57, 8 Ag 3.95

(4)
Compound: RbLi2AgHg
Source: the Alexandria database
Functional: GGA-PBE
Structure: optimized geometry

Values from the calculation:
The value obtained for the formation enthalpy at 0 K is -0.02 eV/atom.

a b c (Å): 5.2988 5.2988 5.4641
angles (deg): 90.00 90.00 90.00
With the nearest neighbours (Å) after each atom.
Space group P4/mmm (No. 123)
One atom of each set of equivalent atoms:
Rb (0.0000, 0.0000, 0.0000) (multiplicity 1)  4 Hg 3.75, 8 Li 3.81
Li (0.0000, 0.5000, 0.5000) (multiplicity 2)  2 Ag 2.65
Ag (0.5000, 0.5000, 0.5000) (multiplicity 1)  4 Li 2.65, 2 Hg 2.73
Hg (0.5000, 0.5000, 0.0000) (multiplicity 1)  2 Ag 2.73

(5)
Compound: LiAgHgRh
Source: the Alexandria database
Functional: GGA-PBE
Structure: optimized geometry

Values from the calculation:
The value obtained for the formation enthalpy at 0 K is -0.10 eV/atom.

a b c (Å): 6.4379 6.4379 6.4379
angles (deg): 90.00 90.00 90.00
With the nearest neighbours (Å) after each atom.
Space group F-43m (No. 216)
One atom of each set of equivalent atoms:
Li (0.0000, 0.0000, 0.0000) (multiplicity 4)  4 Hg 2.79, 4 Ag 2.79
Ag (0.2500, 0.2500, 0.7500) (multiplicity 4)  4 Li 2.79, 4 Rh 2.79
Hg (0.2500, 0.2500, 0.2500) (multiplicity 4)  4 Rh 2.79, 4 Li 2.79
Rh (0.0000, 0.0000, 0.5000) (multiplicity 4)  4 Hg 2.79, 4 Ag 2.79

(6)
Compound: LiAg2HgRu
Source: the Alexandria database
Functional: GGA-PBE
Structure: optimized geometry

Values from the calculation:
The value obtained for the formation enthalpy at 0 K is 0.78 eV/atom.

a b c (Å): 5.1303 5.1303 5.1977
angles (deg): 90.00 90.00 90.00
With the nearest neighbours (Å) after each atom.
Space group P4/mmm (No. 123)
One atom of each set of equivalent atoms:
Li (0.0000, 0.0000, 0.0000) (multiplicity 1)  4 Hg 3.63, 8 Ag 3.65
Ag (0.0000, 0.5000, 0.5000) (multiplicity 2)  2 Ru 2.57
Hg (0.5000, 0.5000, 0.0000) (multiplicity 1)  2 Ru 2.60
Ru (0.5000, 0.5000, 0.5000) (multiplicity 1)  4 Ag 2.57, 2 Hg 2.60

(7)
Compound: LiAgHgSb
Source: the Alexandria database
Functional: GGA-PBE
Structure: optimized geometry

Values from the calculation:
As for the distance to the lowest polymorph of the same formula: 0.0 meV/atom.

a b c (Å): 9.4764 4.2759 4.4807
angles (deg): 90.00 111.38 90.00
With the nearest neighbours (Å) after each atom.
Space group Cm (No. 8)
One atom of each set of equivalent atoms:
Li (0.0000, 0.0000, 0.0000) (multiplicity 2)  3 Hg 2.84-3.06, 3 Ag 2.97-3.16, 4 Sb 3.07-3.13
Ag (0.2601, 0.5000, 0.2813) (multiplicity 2)  3 Sb 2.93-3.02, 4 Li 2.97-3.19, 4 Hg 3.02-3.18
Hg (0.2527, 0.0000, 0.8005) (multiplicity 2)  3 Li 2.84-3.06, 4 Ag 3.02-3.18, 4 Sb 3.12-3.14
Sb (0.0017, 0.5000, 0.4921) (multiplicity 2)  3 Ag 2.93-3.02, 4 Li 3.07-3.13, 4 Hg 3.12-3.14

(8)
Compound: Li2Ag7HgSb2
Source: the Alexandria database
Functional: GGA-PBE
Structure: optimized geometry

a b c (Å): 5.9041 5.9524 13.3609
angles (deg): 90.00 90.28 90.00
With the nearest neighbours (Å) after each atom.
Space group C2/m (No. 12)
One atom of each set of equivalent atoms:
Li (0.0001, 0.0000, 0.1845) (multiplicity 4)  6 Ag 2.85-2.93, 4 Sb 2.95-2.98
Ag (0.0000, 0.0000, 0.5000) (multiplicity 2)  4 Hg 2.95-2.98, 8 Ag 3.01-3.02
Ag (0.2454, 0.0000, 0.9999) (multiplicity 4)  2 Li 2.85-2.87, 2 Sb 2.87-2.88, 4 Ag 2.90-3.01
Ag (0.2498, 0.2498, 0.3374) (multiplicity 8)  2 Li 2.92-2.93, 2 Sb 2.93-2.94, 6 Ag 2.95-3.02, 2 Hg 3.01-3.02
Hg (0.0000, 0.5000, 0.5000) (multiplicity 2)  12 Ag 2.95-3.02
Sb (0.0000, 0.5000, 0.1837) (multiplicity 4)  6 Ag 2.87-2.94, 4 Li 2.95-2.98

(9)
Compound: LiAgHgSb
Source: the Alexandria database
Functional: GGA-PBE
Structure: optimized geometry

Values from the calculation:
As for the distance to the lowest polymorph of the same formula: 25.5 meV/atom.

a b c (Å): 6.9574 6.9574 6.9574
angles (deg): 90.00 90.00 90.00
With the nearest neighbours (Å) after each atom.
Space group F-43m (No. 216)
One atom of each set of equivalent atoms:
Li (0.0000, 0.0000, 0.0000) (multiplicity 4)  4 Hg 3.01, 4 Sb 3.01
Ag (0.0000, 0.0000, 0.5000) (multiplicity 4)  4 Hg 3.01, 4 Sb 3.01
Hg (0.2500, 0.2500, 0.7500) (multiplicity 4)  4 Li 3.01, 4 Ag 3.01
Sb (0.2500, 0.2500, 0.2500) (multiplicity 4)  4 Li 3.01, 4 Ag 3.01

(10)
Compound: LiSc2AgHg4
Source: the Alexandria database
Functional: GGA-PBE
Structure: optimized geometry

Values from the calculation:
The value obtained for the formation enthalpy at 0 K is -0.33 eV/atom.

a b c (Å): 4.8534 4.8534 23.7543
angles (deg): 90.00 90.00 120.00
With the nearest neighbours (Å) after each atom.
Space group R-3m (No. 166, hexagonal axes)
One atom of each set of equivalent atoms:
Li (0.0000, 0.0000, 0.0000) (multiplicity 3)  8 Hg 2.87-2.94
Sc (0.0000, 0.0000, 0.2472) (multiplicity 6)  8 Hg 2.92-3.03
Ag (0.0000, 0.0000, 0.5000) (multiplicity 3)  8 Hg 3.01-3.06
Hg (0.0000, 0.0000, 0.1206) (multiplicity 6)  1 Li 2.87, 4 Sc 2.92-3.01, 3 Ag 3.01
Hg (0.0000, 0.0000, 0.3711) (multiplicity 6)  3 Li 2.94, 4 Sc 2.94-3.03, 1 Ag 3.06

(11)
Compound: LiScAgHg
Source: the Alexandria database
Functional: GGA-PBE
Structure: optimized geometry

Values from the calculation:
The value obtained for the formation enthalpy at 0 K is -0.29 eV/atom. As for the distance to the lowest polymorph of the same formula: 3.1 meV/atom.

a b c (Å): 6.7452 6.7452 6.7452
angles (deg): 90.00 90.00 90.00
With the nearest neighbours (Å) after each atom.
Space group F-43m (No. 216)
One atom of each set of equivalent atoms:
Li (0.0000, 0.0000, 0.0000) (multiplicity 4)  4 Hg 2.92, 4 Ag 2.92
Sc (0.0000, 0.0000, 0.5000) (multiplicity 4)  4 Ag 2.92, 4 Hg 2.92
Ag (0.2500, 0.2500, 0.7500) (multiplicity 4)  4 Li 2.92, 4 Sc 2.92
Hg (0.2500, 0.2500, 0.2500) (multiplicity 4)  4 Li 2.92, 4 Sc 2.92

(12)
Compound: LiScAgHg
Source: the Alexandria database
Functional: GGA-PBE
Structure: optimized geometry

Values from the calculation:
The value obtained for the formation enthalpy at 0 K is -0.30 eV/atom. As for the distance to the lowest polymorph of the same formula: 0.0 meV/atom.

a b c (Å): 3.3288 3.3288 6.8637
angles (deg): 90.00 90.00 90.00
With the nearest neighbours (Å) after each atom.
Space group P4mm (No. 99)
One atom of each set of equivalent atoms:
Li (0.0000, 0.0000, 0.0000) (multiplicity 1)  4 Ag 2.81, 4 Hg 2.84
Sc (0.0000, 0.0000, 0.4892) (multiplicity 1)  4 Ag 2.98, 4 Hg 3.04, 4 Sc 3.33
Ag (0.5000, 0.5000, 0.2240) (multiplicity 1)  4 Li 2.81, 4 Sc 2.98, 1 Hg 3.13
Hg (0.5000, 0.5000, 0.7687) (multiplicity 1)  4 Li 2.84, 4 Sc 3.04, 1 Ag 3.13

Calculated volume per entry: 93.2; 82.0; 154.6; 153.4; 66.7; 136.8; 84.5; 234.8; 84.2; 161.5; 76.7; 76.1 Å³/f.u.
Total DFT energy (no corrections) per entry: -4.872; -5.003; -1.543; -1.609; -3.202; -2.655; -2.449; -2.759; -2.423; -2.658; -3.143; -3.147 eV/atom